[1]
This record from Alexandria via LeMat-Bulk describes a relaxed structure of NbZnFe2Ru. The functional is PBE.

## Properties
Space-group type: P4/mmm (123)
Fermi-level density of states: 6.37 states/eV per cell
Volume: 78.37 Å³/cell
Energy of formation: 1.288 eV per atom

a = 4.2029 Å, b = 4.4363 Å, c = 4.2029 Å
α = 90.00°, β = 90.00°, γ = 90.00°
With the nearest neighbours (Å) after each atom.
Element x y z (fractional)
Ru1 0.0000 0.5000 0.0000  2 Zn 2.22
Nb1 0.5000 0.5000 0.5000  4 Ru 2.97, 8 Fe 3.06
Zn1 0.0000 0.0000 0.0000  4 Fe 2.10, 2 Ru 2.22
Fe1 0.0000 0.0000 0.5000  2 Zn 2.10
Fe2 0.5000 0.0000 0.0000  2 Zn 2.10



[2]
This record from Alexandria via LeMat-Bulk describes a relaxed structure of Nb2ZnFe2Ru5. The functional is PBE.

## Properties
Space-group type: P4/mbm (127)
Fermi-level density of states: 17.99 states/eV per cell
Volume: 289.93 Å³/cell
Energy of formation: -0.003 eV per atom

a = 3.9464 Å, b = 8.5713 Å, c = 8.5713 Å
α = 90.00°, β = 90.00°, γ = 90.00°
With the nearest neighbours (Å) after each atom.
Element x y z (fractional)
Nb1 0.0000 0.6572 0.1572  3 Fe 2.48-2.54, 2 Ru 2.74
Nb2 0.0000 0.3428 0.8428  3 Fe 2.48-2.54, 2 Ru 2.74
Nb3 0.0000 0.1572 0.3428  3 Fe 2.48-2.54, 2 Ru 2.74
Nb4 0.0000 0.8428 0.6572  3 Fe 2.48-2.54, 2 Ru 2.74
Zn1 0.0000 0.0000 0.0000  8 Ru 2.68
Zn2 0.0000 0.5000 0.5000  8 Ru 2.68
Fe1 0.0000 0.1383 0.6383  3 Nb 2.48-2.54, 6 Ru 2.48-2.59
Fe2 0.0000 0.8617 0.3617  3 Nb 2.48-2.54, 6 Ru 2.48-2.59
Fe3 0.0000 0.6383 0.8617  3 Nb 2.48-2.54, 6 Ru 2.48-2.59
Fe4 0.0000 0.3617 0.1383  3 Nb 2.48-2.54, 6 Ru 2.48-2.59
Ru1 0.5000 0.1977 0.0756  2 Fe 2.48, 4 Ru 2.57-2.75, 2 Zn 2.68
Ru2 0.5000 0.8023 0.9244  2 Fe 2.48, 4 Ru 2.57-2.75, 2 Zn 2.68
Ru3 0.5000 0.0756 0.8023  2 Fe 2.48, 4 Ru 2.57-2.75, 2 Zn 2.68
Ru4 0.5000 0.6977 0.4244  2 Fe 2.48, 4 Ru 2.57-2.75, 2 Zn 2.68
Ru5 0.5000 0.9244 0.1977  2 Fe 2.48, 4 Ru 2.57-2.75, 2 Zn 2.68
Ru6 0.5000 0.3023 0.5756  2 Fe 2.48, 4 Ru 2.57-2.75, 2 Zn 2.68
Ru7 0.5000 0.5756 0.6977  2 Fe 2.48, 4 Ru 2.57-2.75, 2 Zn 2.68
Ru8 0.5000 0.4244 0.3023  2 Fe 2.48, 4 Ru 2.57-2.75, 2 Zn 2.68
Ru9 0.5000 0.5000 0.0000  4 Fe 2.59, 4 Ru 2.67, 4 Nb 2.74
Ru10 0.5000 0.0000 0.5000  4 Fe 2.59, 4 Ru 2.67, 4 Nb 2.74



[3]
This record from Alexandria via LeMat-Bulk describes a relaxed structure of Nb2FeS4. The functional is PBE.

## Properties
Space-group type: P-3m1 (164)
Energy relative to the elements, uncorrected: -0.89 eV per atom
Fermi-level density of states: 2.56 states/eV per cell
Volume: 120.02 Å³/cell

a = 3.3425 Å, b = 3.3425 Å, c = 12.4043 Å
α = 90.00°, β = 90.00°, γ = 120.00°
With the nearest neighbours (Å) after each atom.
Element x y z (fractional)
Nb1 0.0000 0.0000 0.2695  6 S 2.49-2.53
Nb2 0.0000 0.0000 0.7305  6 S 2.49-2.53
Fe1 0.0000 0.0000 0.5000  6 S 2.28
S1 0.3333 0.6667 0.8571  3 Nb 2.49
S2 0.6667 0.3333 0.1429  3 Nb 2.49
S3 0.6667 0.3333 0.4019  3 Fe 2.28, 3 Nb 2.53
S4 0.3333 0.6667 0.5981  3 Fe 2.28, 3 Nb 2.53



[4]
This record from Alexandria via LeMat-Bulk describes a relaxed structure of NbFeS2. The functional is PBE.

## Properties
Space-group type: Fm-3m (225)
Energy relative to the elements, uncorrected: -0.27 eV per atom
Fermi-level density of states: 4.57 states/eV per cell
Volume: 55.81 Å³/cell
Energy relative to the lowest polymorph listed for this composition: 159 meV/atom

a = 4.2896 Å, b = 4.2896 Å, c = 4.2896 Å
α = 60.00°, β = 60.00°, γ = 60.00°
With the nearest neighbours (Å) after each atom.
Element x y z (fractional)
S1 0.2500 0.2500 0.2500  4 Nb 2.63, 4 Fe 2.63
S2 0.7500 0.7500 0.7500  4 Nb 2.63, 4 Fe 2.63
Nb1 0.5000 0.5000 0.5000  8 S 2.63
Fe1 0.0000 0.0000 0.0000  8 S 2.63



[5]
This record from Alexandria via LeMat-Bulk describes a relaxed structure of Nb2FeS4. The functional is PBE.

## Properties
Space-group type: Pnma (62)
Energy relative to the elements, uncorrected: -0.71 eV per atom
Fermi-level density of states: 11.17 states/eV per cell
Volume: 569.85 Å³/cell

a = 3.3725 Å, b = 8.5924 Å, c = 19.6651 Å
α = 90.00°, β = 90.00°, γ = 90.00°
With the nearest neighbours (Å) after each atom.
Element x y z (fractional)
Nb1 0.7500 0.3781 0.0220  6 S 2.48-2.74
Nb2 0.2500 0.6219 0.9780  6 S 2.48-2.74
Nb3 0.2500 0.1219 0.5220  6 S 2.48-2.74
Nb4 0.7500 0.8781 0.4780  6 S 2.48-2.74
Nb5 0.7500 0.0324 0.9010  5 S 2.34-2.53
Nb6 0.2500 0.9676 0.0990  5 S 2.34-2.53
Nb7 0.2500 0.4676 0.4010  5 S 2.34-2.53
Nb8 0.7500 0.5324 0.5990  5 S 2.34-2.53
Fe1 0.7500 0.2205 0.3708  5 S 2.32-2.59
Fe2 0.2500 0.7795 0.6292  5 S 2.32-2.59
Fe3 0.2500 0.2795 0.8708  5 S 2.32-2.59
Fe4 0.7500 0.7205 0.1292  5 S 2.32-2.59
S1 0.7500 0.1683 0.1269  3 Nb 2.47-2.74
S2 0.2500 0.8317 0.8731  3 Nb 2.47-2.74
S3 0.2500 0.3317 0.6269  3 Nb 2.47-2.74
S4 0.7500 0.6683 0.3731  3 Nb 2.47-2.74
S5 0.7500 0.1816 0.8016  2 Fe 2.32, 1 Nb 2.34
S6 0.2500 0.8184 0.1984  2 Fe 2.32, 1 Nb 2.34
S7 0.2500 0.3184 0.3016  2 Fe 2.32, 1 Nb 2.34
S8 0.7500 0.6816 0.6984  2 Fe 2.32, 1 Nb 2.34
S9 0.7500 0.4967 0.9032  3 Nb 2.48-2.55, 2 Fe 2.59
S10 0.2500 0.5033 0.0968  3 Nb 2.48-2.55, 2 Fe 2.59
S11 0.2500 0.0033 0.4032  3 Nb 2.48-2.55, 2 Fe 2.59
S12 0.7500 0.9967 0.5968  3 Nb 2.48-2.55, 2 Fe 2.59
S13 0.7500 0.3397 0.4786  1 Fe 2.35, 2 Nb 2.53
S14 0.2500 0.6603 0.5214  1 Fe 2.35, 2 Nb 2.53
S15 0.2500 0.1603 0.9786  1 Fe 2.35, 2 Nb 2.53
S16 0.7500 0.8397 0.0214  1 Fe 2.35, 2 Nb 2.53



[6]
This record from Alexandria via LeMat-Bulk describes a relaxed structure of NbFeS2. The functional is PBE.

## Properties
Space-group type: R-3m (166)
Energy relative to the elements, uncorrected: -0.43 eV per atom
Fermi-level density of states: 3.73 states/eV per cell
Volume: 69.06 Å³/cell
Energy relative to the lowest polymorph listed for this composition: 0 meV/atom

a = 7.9716 Å, b = 7.9716 Å, c = 7.9716 Å
α = 23.21°, β = 23.21°, γ = 23.21°
With the nearest neighbours (Å) after each atom.
Element x y z (fractional)
S1 0.9050 0.9050 0.9050  1 Fe 2.21
S2 0.0950 0.0950 0.0950  1 Fe 2.21
Nb1 0.5000 0.5000 0.5000  6 S 2.49
Fe1 0.0000 0.0000 0.0000  2 S 2.21



[7]
This record from Alexandria via LeMat-Bulk describes a relaxed structure of NbFeS3. The functional is PBE.

## Properties
Space-group type: Pm-3m (221)
Energy relative to the elements, uncorrected: 0.34 eV per atom
Fermi-level density of states: 4.76 states/eV per cell
Volume: 80.43 Å³/cell
Energy relative to the lowest polymorph listed for this composition: 151 meV/atom

a = 4.3167 Å, b = 4.3167 Å, c = 4.3167 Å
α = 90.00°, β = 90.00°, γ = 90.00°
With the nearest neighbours (Å) after each atom.
Element x y z (fractional)
S1 0.0000 0.5000 0.0000  2 Fe 2.16
S2 0.0000 0.0000 0.5000  2 Fe 2.16
S3 0.5000 0.0000 0.0000  2 Fe 2.16
Nb1 0.5000 0.5000 0.5000  12 S 3.05
Fe1 0.0000 0.0000 0.0000  6 S 2.16



[8]
This record from Alexandria via LeMat-Bulk describes a relaxed structure of Nb2FeS4. The functional is PBE.

## Properties
Space-group type: P2_1/m (11)
Energy relative to the elements, uncorrected: -0.56 eV per atom
Fermi-level density of states: 5.52 states/eV per cell
Volume: 263.60 Å³/cell

a = 5.9888 Å, b = 7.0840 Å, c = 6.4674 Å
α = 90.00°, β = 106.11°, γ = 90.00°
With the nearest neighbours (Å) after each atom.
Element x y z (fractional)
Nb1 0.6826 0.7500 0.0784  4 S 2.41-2.51
Nb2 0.3174 0.2500 0.9216  4 S 2.41-2.51
Nb3 0.3261 0.2500 0.4824  4 S 2.36-2.52
Nb4 0.6739 0.7500 0.5176  4 S 2.36-2.52
Fe1 0.2465 0.7500 0.1844  4 S 2.22-2.24
Fe2 0.7535 0.2500 0.8156  4 S 2.22-2.24
S1 0.4888 0.5020 0.2446  1 Fe 2.24, 1 Nb 2.51
S2 0.9775 0.7500 0.8702  1 Fe 2.22
S3 0.0225 0.2500 0.1298  1 Fe 2.22
S4 0.4888 0.9980 0.2446  1 Fe 2.24, 1 Nb 2.51
S5 0.9902 0.2500 0.6059  1 Fe 2.22, 2 Nb 2.36-2.41
S6 0.5112 0.0020 0.7554  1 Fe 2.24, 1 Nb 2.51
S7 0.5112 0.4980 0.7554  1 Fe 2.24, 1 Nb 2.51
S8 0.0098 0.7500 0.3941  1 Fe 2.22, 2 Nb 2.36-2.41



[9]
This record from Alexandria via LeMat-Bulk describes a relaxed structure of Nb2FeS4. The functional is PBE.

## Properties
Space-group type: Pnma (62)
Energy relative to the elements, uncorrected: -0.76 eV per atom
Fermi-level density of states: 16.66 states/eV per cell
Volume: 587.50 Å³/cell

a = 3.3182 Å, b = 13.9214 Å, c = 12.7184 Å
α = 90.00°, β = 90.00°, γ = 90.00°
With the nearest neighbours (Å) after each atom.
Element x y z (fractional)
Nb1 0.2500 0.5549 0.0704  5 S 2.49-2.56
Nb2 0.2500 0.0549 0.4296  5 S 2.49-2.56
Nb3 0.7500 0.4451 0.9296  5 S 2.49-2.56
Nb4 0.7500 0.9451 0.5704  5 S 2.49-2.56
Nb5 0.2500 0.5100 0.6006  6 S 2.45-2.70
Nb6 0.2500 0.0100 0.8994  6 S 2.45-2.70
Nb7 0.7500 0.4900 0.3994  6 S 2.45-2.70
Nb8 0.7500 0.9900 0.1006  6 S 2.45-2.70
Fe1 0.2500 0.5810 0.8166  5 S 2.32-2.43
Fe2 0.2500 0.0810 0.6834  5 S 2.32-2.43
Fe3 0.7500 0.4190 0.1834  5 S 2.32-2.43
Fe4 0.7500 0.9190 0.3166  5 S 2.32-2.43
S1 0.2500 0.8714 0.4440  2 Fe 2.41, 3 Nb 2.53-2.56
S2 0.2500 0.3714 0.0560  2 Fe 2.41, 3 Nb 2.53-2.56
S3 0.7500 0.1286 0.5560  2 Fe 2.41, 3 Nb 2.53-2.56
S4 0.7500 0.6286 0.9440  2 Fe 2.41, 3 Nb 2.53-2.56
S5 0.2500 0.8749 0.1860  2 Fe 2.43, 2 Nb 2.55
S6 0.2500 0.3749 0.3140  2 Fe 2.43, 2 Nb 2.55
S7 0.7500 0.1251 0.8140  2 Fe 2.43, 2 Nb 2.55
S8 0.7500 0.6251 0.6860  2 Fe 2.43, 2 Nb 2.55
S9 0.2500 0.6142 0.4454  3 Nb 2.45-2.47
S10 0.2500 0.1142 0.0546  3 Nb 2.45-2.47
S11 0.7500 0.3858 0.5546  3 Nb 2.45-2.47
S12 0.7500 0.8858 0.9454  3 Nb 2.45-2.47
S13 0.2500 0.4168 0.7870  1 Fe 2.32, 2 Nb 2.49
S14 0.2500 0.9168 0.7130  1 Fe 2.32, 2 Nb 2.49
S15 0.7500 0.5832 0.2130  1 Fe 2.32, 2 Nb 2.49
S16 0.7500 0.0832 0.2870  1 Fe 2.32, 2 Nb 2.49



[10]
This record from Alexandria via LeMat-Bulk describes a relaxed structure of NbFeS2. The functional is PBE.

## Properties
Space-group type: I-42d (122)
Energy relative to the elements, uncorrected: -0.37 eV per atom
Fermi-level density of states: 7.46 states/eV per cell
Volume: 141.32 Å³/cell
Energy relative to the lowest polymorph listed for this composition: 65 meV/atom

a = 5.3573 Å, b = 5.3573 Å, c = 6.2126 Å
α = 64.46°, β = 64.46°, γ = 90.00°
With the nearest neighbours (Å) after each atom.
Element x y z (fractional)
S1 0.5846 0.1250 0.2500  2 Fe 2.14, 2 Nb 2.39
S2 0.1654 0.6250 0.2500  2 Fe 2.14, 2 Nb 2.39
S3 0.3750 0.4154 0.7500  2 Fe 2.14, 2 Nb 2.39
S4 0.8750 0.8346 0.7500  2 Fe 2.14, 2 Nb 2.39
Nb1 0.0000 0.0000 0.0000  4 S 2.39
Nb2 0.7500 0.2500 0.5000  4 S 2.39
Fe1 0.5000 0.5000 0.0000  4 S 2.14
Fe2 0.2500 0.7500 0.5000  4 S 2.14



> Which formula does entry 9 have?

Nb2FeS4



> Which of these has the highest volume?

number 9



> The lowest volume belongs to which entry?

number 4